No. 1
A plane-wave DFT calculation with GGA-PBE was carried out for an optimized crystal structure of Ti3AlZn.

Calculated values
Symmetry: Cmcm (63)
Crystal system: orthorhombic
Polymorph energy (0 for the lowest one) in eV per formula unit: 0.00

Lattice parameters (Å, degrees): 3.9664 3.9603 10.4843 90.00 79.10 90.00
Closest atoms and distances in Å follow each position.
Sites, in units of the cell vectors:
1 Ti 0.7738 0.2500 0.1007  8 Ti 2.80-2.87, 2 Zn 2.88, 2 Al 2.89
2 Ti 0.8745 0.7500 0.8993  8 Ti 2.80-2.87, 2 Zn 2.88, 2 Al 2.89
3 Al 0.1720 0.2500 0.3044  4 Zn 2.80, 8 Ti 2.82-2.89
4 Zn 0.9763 0.2500 0.6957  4 Al 2.80, 8 Ti 2.82-2.88
5 Ti 0.3747 0.2500 0.8989  8 Ti 2.80-2.87, 2 Al 2.88, 2 Zn 2.88
6 Ti 0.5742 0.2500 0.5000  4 Ti 2.80, 4 Al 2.82-2.83, 4 Zn 2.82-2.83
7 Ti 0.0742 0.7500 0.5000  4 Ti 2.80, 4 Al 2.82-2.83, 4 Zn 2.82-2.83
8 Ti 0.2736 0.7500 0.1011  8 Ti 2.80-2.87, 2 Al 2.88, 2 Zn 2.88
9 Zn 0.6720 0.7500 0.3043  4 Al 2.80, 8 Ti 2.82-2.88
10 Al 0.4764 0.7500 0.6956  4 Zn 2.80, 8 Ti 2.82-2.89

***

No. 2
A plane-wave DFT calculation with GGA-PBE was carried out for an optimized crystal structure of Ti3Al2Zn2.

Calculated values
Symmetry: Cmmm (65)
Crystal system: orthorhombic
Polymorph energy (0 for the lowest one) in eV per formula unit: 0.00

Lattice parameters (Å, degrees): 4.1738 2.8471 9.5177 90.00 77.33 90.00
Closest atoms and distances in Å follow each position.
Sites, in units of the cell vectors:
1 Ti 0.8496 0.0000 0.3007  3 Ti 2.79-2.85, 6 Zn 2.80-2.88, 4 Al 2.89
2 Zn 0.2851 0.5000 0.4297  2 Zn 2.46, 1 Al 2.60
3 Zn 0.7149 0.5000 0.5703  2 Zn 2.46, 1 Al 2.60
4 Al 0.5750 0.5000 0.8500  1 Zn 2.60, 3 Al 2.79-2.85, 8 Ti 2.88-2.89
5 Al 0.4250 0.5000 0.1500  1 Zn 2.60, 3 Al 2.79-2.85, 8 Ti 2.88-2.89
6 Ti 0.0000 0.0000 0.0000  4 Ti 2.79-2.85, 8 Al 2.88
7 Ti 0.1504 0.0000 0.6993  3 Ti 2.79-2.85, 6 Zn 2.80-2.88, 4 Al 2.89

***

No. 3
A plane-wave DFT calculation with GGA-PBE was carried out for an optimized crystal structure of Ti3Al2Zn3.

Calculated values
Symmetry: Pmmn (59)
Crystal system: orthorhombic

Lattice parameters (Å, degrees): 5.4748 4.2492 10.9896 90.00 90.00 90.00
Closest atoms and distances in Å follow each position.
Sites, in units of the cell vectors:
1 Zn 0.3600 0.7500 0.0028  3 Zn 2.62-2.76, 3 Al 2.64-2.65, 4 Ti 2.72-2.86
2 Zn 0.6400 0.2500 0.9972  3 Zn 2.62-2.76, 3 Al 2.64-2.65, 4 Ti 2.72-2.86
3 Al 0.2449 0.2500 0.3654  1 Al 2.54, 5 Zn 2.64-2.73, 3 Ti 2.75-2.84
4 Al 0.7551 0.7500 0.8654  1 Al 2.54, 5 Zn 2.64-2.73, 3 Ti 2.75-2.84
5 Ti 0.9068 0.7500 0.3956  4 Zn 2.72-2.95, 3 Al 2.75-2.84, 2 Ti 2.77
6 Ti 0.9068 0.7500 0.1044  4 Zn 2.72-2.95, 3 Al 2.75-2.84, 2 Ti 2.77
7 Zn 0.6400 0.2500 0.5028  3 Zn 2.62-2.76, 3 Al 2.64-2.65, 4 Ti 2.72-2.86
8 Zn 0.4537 0.7500 0.2500  4 Ti 2.72-2.95, 4 Al 2.73, 2 Zn 2.76
9 Ti 0.0932 0.2500 0.8956  4 Zn 2.72-2.95, 3 Al 2.75-2.84, 2 Ti 2.77
10 Al 0.7551 0.7500 0.6346  1 Al 2.54, 5 Zn 2.64-2.73, 3 Ti 2.75-2.84
11 Ti 0.7650 0.2500 0.2500  4 Zn 2.72-2.86, 4 Ti 2.77, 2 Al 2.92
12 Ti 0.0932 0.2500 0.6044  4 Zn 2.72-2.95, 3 Al 2.75-2.84, 2 Ti 2.77
13 Al 0.2449 0.2500 0.1346  1 Al 2.54, 5 Zn 2.64-2.73, 3 Ti 2.75-2.84
14 Zn 0.3600 0.7500 0.4972  3 Zn 2.62-2.76, 3 Al 2.64-2.65, 4 Ti 2.72-2.86
15 Zn 0.5463 0.2500 0.7500  4 Ti 2.72-2.95, 4 Al 2.73, 2 Zn 2.76
16 Ti 0.2350 0.7500 0.7500  4 Zn 2.72-2.86, 4 Ti 2.77, 2 Al 2.92

***

No. 4
A plane-wave DFT calculation with GGA-PBE was carried out for an optimized crystal structure of Ti3AlZn.

Calculated values
Symmetry: Pm-3m (221)
Crystal system: cubic
Polymorph energy (0 for the lowest one) in eV per formula unit: 4.08

Lattice parameters (Å, degrees): 4.6417 4.6417 4.6417 90.00 90.00 90.00
Closest atoms and distances in Å follow each position.
Sites, in units of the cell vectors:
1 Zn 0.0000 0.0000 0.0000  6 Ti 2.32
2 Al 0.5000 0.5000 0.5000  12 Ti 3.28
3 Ti 0.0000 0.0000 0.5000  2 Zn 2.32
4 Ti 0.5000 0.0000 0.0000  2 Zn 2.32
5 Ti 0.0000 0.5000 0.0000  2 Zn 2.32

***

No. 5
A plane-wave DFT calculation with GGA-PBE was carried out for an optimized crystal structure of Ti6AlZn2.

Calculated values
Symmetry: Immm (71)
Crystal system: orthorhombic
Polymorph energy (0 for the lowest one) in eV per formula unit: 0.52

Lattice parameters (Å, degrees): 2.7027 8.1292 8.1292 57.77 80.43 80.43
Closest atoms and distances in Å follow each position.
Sites, in units of the cell vectors:
1 Ti 0.0000 0.8269 0.1731  5 Ti 2.62-2.72, 4 Zn 2.88, 2 Al 2.90
2 Ti 0.1683 0.1510 0.5124  6 Ti 2.62-2.87, 3 Zn 2.86
3 Ti 0.0000 0.1731 0.8269  5 Ti 2.62-2.72, 4 Zn 2.88, 2 Al 2.90
4 Zn 0.6542 0.8458 0.8458  2 Zn 2.70, 10 Ti 2.86-2.88
5 Ti 0.8317 0.4876 0.8490  6 Ti 2.62-2.87, 3 Zn 2.86
6 Ti 0.1683 0.5124 0.1510  6 Ti 2.62-2.87, 3 Zn 2.86
7 Ti 0.8317 0.8490 0.4876  6 Ti 2.62-2.87, 3 Zn 2.86
8 Zn 0.3458 0.1542 0.1542  2 Zn 2.70, 10 Ti 2.86-2.88
9 Al 0.5000 0.5000 0.5000  2 Al 2.70, 4 Ti 2.90

***

No. 6
A plane-wave DFT calculation with GGA-PBE was carried out for an optimized crystal structure of Ti2AlZn6.

Calculated values
Symmetry: P6/mmm (191)
Crystal system: hexagonal
Polymorph energy (0 for the lowest one) in eV per formula unit: 0.00

Lattice parameters (Å, degrees): 2.8267 7.5201 8.0284 117.93 110.57 90.00
Closest atoms and distances in Å follow each position.
Sites, in units of the cell vectors:
1 Zn 0.5000 0.6649 0.0000  3 Zn 2.48-2.52
2 Zn 0.1653 0.6649 0.6649  3 Zn 2.48-2.52
3 Zn 0.1653 0.0000 0.6649  3 Zn 2.48-2.52
4 Zn 0.8347 0.0000 0.3351  3 Zn 2.48-2.52
5 Zn 0.8347 0.3351 0.3351  3 Zn 2.48-2.52
6 Al 0.0000 0.0000 0.0000  2 Al 2.83, 12 Zn 2.89
7 Ti 0.6666 0.3333 0.6666  2 Ti 2.83, 12 Zn 2.87
8 Ti 0.3334 0.6667 0.3334  2 Ti 2.83, 12 Zn 2.87
9 Zn 0.5000 0.3351 0.0000  3 Zn 2.48-2.52

***

No. 7
A plane-wave DFT calculation with GGA-PBE was carried out for an optimized crystal structure of Ti3Al2Zn.

Calculated values
Symmetry: Cmmm (65)
Crystal system: orthorhombic
Polymorph energy (0 for the lowest one) in eV per formula unit: 0.03

Lattice parameters (Å, degrees): 8.1587 6.2560 6.2560 143.20 90.00 90.00
Closest atoms and distances in Å follow each position.
Sites, in units of the cell vectors:
1 Ti 0.4697 0.5000 0.5000  4 Ti 2.80, 4 Al 2.83, 4 Zn 2.84
2 Zn 0.2197 0.0002 0.0002  4 Al 2.78, 8 Ti 2.84-2.85
3 Al 0.2196 0.3349 0.6655  2 Zn 2.78, 2 Al 2.82, 8 Ti 2.83-2.85
4 Ti 0.4696 0.8328 0.1671  4 Ti 2.79-2.80, 6 Al 2.84-2.85, 2 Zn 2.85
5 Ti 0.9697 0.5000 0.5000  4 Ti 2.80, 4 Al 2.83, 4 Zn 2.84
6 Al 0.2196 0.6655 0.3349  2 Zn 2.78, 2 Al 2.82, 8 Ti 2.83-2.85
7 Ti 0.9696 0.1672 0.8329  4 Ti 2.79-2.80, 6 Al 2.84-2.85, 2 Zn 2.85
8 Ti 0.4696 0.1671 0.8328  4 Ti 2.79-2.80, 6 Al 2.84-2.85, 2 Zn 2.85
9 Al 0.7196 0.6651 0.3345  2 Zn 2.78, 2 Al 2.82, 8 Ti 2.83-2.85
10 Al 0.7196 0.3345 0.6651  2 Zn 2.78, 2 Al 2.82, 8 Ti 2.83-2.85
11 Ti 0.9696 0.8329 0.1672  4 Ti 2.79-2.80, 6 Al 2.84-2.85, 2 Zn 2.85
12 Zn 0.7197 0.9998 0.9998  4 Al 2.78, 8 Ti 2.84-2.85

***

No. 8
A plane-wave DFT calculation with GGA-PBE was carried out for an optimized crystal structure of Ti6Al3Zn.

Calculated values
Symmetry: Cmc2_1 (36)
Crystal system: orthorhombic
Polymorph energy (0 for the lowest one) in eV per formula unit: 1.77

Lattice parameters (Å, degrees): 5.3666 8.8194 8.8194 126.47 90.00 90.00
Closest atoms and distances in Å follow each position.
Sites, in units of the cell vectors:
1 Zn 0.0971 0.1493 0.8507  5 Ti 2.60-2.84, 2 Al 2.70
2 Al 0.5105 0.9337 0.7083  2 Al 2.59-2.84, 5 Ti 2.65-2.85, 1 Zn 2.70
3 Ti 0.8238 0.5393 0.0882  3 Ti 2.61-2.89, 3 Al 2.67-2.90, 1 Zn 2.75
4 Ti 0.0480 0.7407 0.6230  4 Al 2.80-3.00, 4 Ti 2.89-3.13, 1 Zn 2.91
5 Ti 0.3238 0.0882 0.5393  3 Ti 2.61-2.89, 3 Al 2.67-2.90, 1 Zn 2.75
6 Ti 0.3147 0.9847 0.0153  2 Zn 2.60-2.84, 4 Al 2.65-2.68, 4 Ti 2.73-2.90
7 Al 0.0105 0.7083 0.9337  2 Al 2.59-2.84, 5 Ti 2.65-2.85, 1 Zn 2.70
8 Ti 0.7405 0.2660 0.7340  4 Ti 2.61-2.68, 1 Zn 2.65, 1 Al 2.83
9 Ti 0.5480 0.2593 0.3770  4 Al 2.80-3.00, 4 Ti 2.89-3.13, 1 Zn 2.91
10 Al 0.0105 0.0663 0.2917  2 Al 2.59-2.84, 5 Ti 2.65-2.85, 1 Zn 2.70
11 Al 0.5683 0.5931 0.4069  2 Al 2.59, 3 Ti 2.80-2.83
12 Ti 0.2405 0.7340 0.2660  4 Ti 2.61-2.68, 1 Zn 2.65, 1 Al 2.83
13 Al 0.5105 0.2917 0.0663  2 Al 2.59-2.84, 5 Ti 2.65-2.85, 1 Zn 2.70
14 Ti 0.3238 0.4607 0.9118  3 Ti 2.61-2.89, 3 Al 2.67-2.90, 1 Zn 2.75
15 Ti 0.8238 0.9118 0.4607  3 Ti 2.61-2.89, 3 Al 2.67-2.90, 1 Zn 2.75
16 Al 0.0683 0.4069 0.5931  2 Al 2.59, 3 Ti 2.80-2.83
17 Ti 0.8147 0.0153 0.9847  2 Zn 2.60-2.84, 4 Al 2.65-2.68, 4 Ti 2.73-2.90
18 Ti 0.5480 0.6230 0.7407  4 Al 2.80-3.00, 4 Ti 2.89-3.13, 1 Zn 2.91
19 Ti 0.0480 0.3770 0.2593  4 Al 2.80-3.00, 4 Ti 2.89-3.13, 1 Zn 2.91
20 Zn 0.5971 0.8507 0.1493  5 Ti 2.60-2.84, 2 Al 2.70

***

| no. | total magnetic moment (μB/cell) | uncorrected energy (eV/atom) |
| --- | --- | --- |
| 1 | 0.000 | -5.988 |
| 2 | 0.221 | -5.130 |
| 3 | 2.093 | -4.479 |
| 4 | 0.000 | -5.171 |
| 5 | 3.185 | -5.945 |
| 6 | 0.765 | -3.139 |
| 7 | 0.011 | -5.738 |
| 8 | 0.001 | -6.092 |